Record 1
DFT (PBE-GGA) results for a geometry-optimized KLaMo2 structure.

The structure belongs to space group Fm-3m (No. 225); the cell edges are 7.454, 7.454 and 7.454 Å and the angles 90.00°, 90.00° and 90.00°. The inequivalent atoms are K at (0.000, 0.000, 0.000), La at (0.000, 0.000, 0.500) and Mo at (0.250, 0.250, 0.250).

The energy relative to the elements comes out at 6.81 eV per formula unit. The spin magnetization comes out at 21.61 μB per cell.

=====

Record 2
DFT (PBE-GGA) results for a geometry-optimized KLaMo2 structure.

The structure belongs to space group C2/m (No. 12); the cell edges are 10.951, 3.359 and 7.563 Å and the angles 90.00°, 94.14° and 90.00°. The inequivalent atoms are K at (0.000, 0.000, 0.000), La at (0.000, 0.500, 0.500) and Mo at (0.250, 0.000, 0.614).

The energy relative to the elements comes out at 3.69 eV per formula unit. The spin magnetization comes out at 0.00 μB per cell.

=====

Record 3
DFT (PBE-GGA) results for a geometry-optimized KLaMo2 structure.

The structure belongs to space group I4/mmm (No. 139); the cell edges are 4.002, 4.002 and 10.927 Å and the angles 90.00°, 90.00° and 90.00°. The inequivalent atoms are K at (0.000, 0.000, 0.000), La at (0.000, 0.000, 0.500) and Mo at (0.000, 0.500, 0.250).

The energy relative to the elements comes out at 5.13 eV per formula unit. The spin magnetization comes out at 0.00 μB per cell.

=====

no.,raw total energy (eV per atom)
1,-5.2188
2,-6.0001
3,-5.6395